Model 1:
Entry from the Alexandria database: an optimized crystal structure of PaPt2Pb (PBE).

Calculated values
Total magnetization, μB per atom: 0.000

Cell and atoms, written as extended XYZ:
```
4
Lattice="-2.554 -1.645 -1.718 2.370 -1.970 -1.637 -0.416 -4.973 5.382" Properties=species:S:1:pos:R:3 pbc="T T T"
Pb -0.300 -4.294 1.013
Pt -0.326 -3.888 4.207
Pt -0.091 -1.085 1.174
Pa -0.092 -1.808 -1.678
```

Model 2:
Entry from the Alexandria database: an optimized crystal structure of PaPt2Pb (PBE).

Calculated values
Total magnetization, μB per atom: 0.000

Cell and atoms, written as extended XYZ:
```
4
Lattice="4.930 0.000 0.000 2.465 4.269 0.000 2.465 1.423 4.025" Properties=species:S:1:pos:R:3 pbc="T T T"
Pa 0.000 0.000 0.000
Pb 4.930 2.846 2.013
Pt 2.465 1.423 1.006
Pt 7.394 4.269 3.019
```

Least stable structure: model 1

Model 1:
Entry from the Alexandria database: an optimized crystal structure of Pa2RePb (PBE).

Calculated values
Total magnetization, μB per atom: 0.000

Cell and atoms, written as extended XYZ:
```
4
Lattice="-0.319 2.708 1.780 0.028 -1.786 2.722 8.889 0.773 0.414" Properties=species:S:1:pos:R:3 pbc="T T T"
Re -0.145 0.461 2.251
Pa 1.844 0.160 0.086
Pa 7.045 0.613 0.328
Pb 4.300 0.848 2.458
```

Model 2:
Entry from the Alexandria database: an optimized crystal structure of Pa2RePb (PBE).

Calculated values
Total magnetization, μB per atom: 0.000

Cell and atoms, written as extended XYZ:
```
4
Lattice="-0.454 2.182 3.313 -3.452 1.883 0.693 -4.013 -5.023 5.164" Properties=species:S:1:pos:R:3 pbc="T T T"
Pb -3.960 -0.479 4.585
Pa -6.097 -1.089 7.100
Pa -1.822 0.131 2.070
Re 0.000 0.000 0.000
```

Least stable structure: model 2

Model 1:
Entry from the Alexandria database: an optimized crystal structure of PaPbS3 (PBE).

Calculated values
Total magnetization, μB per atom: 0.205

Cell and atoms, written as extended XYZ:
```
10
Lattice="-3.112 -2.384 -0.311 2.844 -4.728 7.790 -3.660 7.703 2.429" Properties=species:S:1:pos:R:3 pbc="T T T"
Pa -1.804 1.478 6.720
Pa -2.124 -0.887 3.189
Pb 0.995 -2.261 7.382
Pb -4.923 2.852 2.526
S -3.598 0.841 4.694
S -3.201 0.768 1.280
S -0.330 -0.250 5.215
S 0.218 -0.536 1.934
S -4.146 1.127 7.974
S -0.727 -0.177 8.628
```

Model 2:
Entry from the Alexandria database: an optimized crystal structure of PaPbS3 (PBE).

Calculated values
Total magnetization, μB per atom: 0.206

Cell and atoms, written as extended XYZ:
```
20
Lattice="3.702 2.685 -8.459 -9.559 1.036 -0.134 0.549 5.311 1.926" Properties=species:S:1:pos:R:3 pbc="T T T"
S -1.618 3.858 -1.814
S 1.402 5.219 -2.245
S -1.527 7.079 -6.541
S -0.596 3.421 -5.211
S -7.218 2.678 -1.018
S 1.910 6.354 -5.649
S -4.712 5.611 -1.456
S -3.782 1.953 -0.126
S -4.821 3.062 -7.073
S -6.710 3.813 -4.422
S -1.036 0.658 -1.520
S -3.690 5.174 -4.853
Pb -1.062 5.851 -3.841
Pb -4.247 3.180 -2.826
Pb -7.656 5.378 0.449
Pb 2.348 3.654 -7.116
Pa -2.391 4.350 -7.134
Pa 0.538 2.490 -2.838
Pa -2.918 4.682 0.467
Pa -5.847 6.542 -3.829
```

Least stable structure: model 1

Model 1:
Entry from the Alexandria database: an optimized crystal structure of PaPbS4 (PBE).

Calculated values
Total magnetization, μB per atom: 0.000

Cell and atoms, written as extended XYZ:
```
6
Lattice="-0.686 2.624 3.186 -4.442 -3.976 2.318 4.618 -2.877 3.364" Properties=species:S:1:pos:R:3 pbc="T T T"
S 1.375 -1.917 4.622
S 0.036 -1.418 1.176
S 0.139 -5.434 4.506
S -1.885 -2.312 4.246
Pb -0.343 1.312 1.593
Pa 0.088 -3.426 2.841
```

Model 2:
Entry from the Alexandria database: an optimized crystal structure of PaPbS4 (PBE).

Calculated values
Total magnetization, μB per atom: 0.000

Cell and atoms, written as extended XYZ:
```
12
Lattice="-4.527 3.476 3.163 -4.401 -3.439 -2.520 0.396 -4.734 5.769" Properties=species:S:1:pos:R:3 pbc="T T T"
S -4.187 -1.967 6.268
S -1.921 -3.703 4.688
S -6.612 -0.994 1.725
S -2.146 -1.009 1.406
S -4.345 -2.730 0.145
S -4.413 0.726 2.986
S -6.386 -3.687 5.007
S -4.119 -5.423 3.427
Pb 0.198 -2.367 2.885
Pb -4.266 -2.348 3.206
Pa -4.464 0.019 0.322
Pa 0.000 0.000 0.000
```

Least stable structure: model 2

Model 1:
Entry from the Alexandria database: an optimized crystal structure of PaPb3S6 (PBE).

Calculated values
Total magnetization, μB per atom: 0.000

Cell and atoms, written as extended XYZ:
```
20
Lattice="-2.004 6.872 0.239 -4.938 -5.181 0.259 0.894 -0.196 13.125" Properties=species:S:1:pos:R:3 pbc="T T T"
S -1.759 -1.568 1.813
S -2.078 0.211 5.022
S -3.156 -3.305 5.043
S -4.556 0.810 2.039
S -1.047 4.351 8.447
S -1.706 0.732 8.438
S -5.654 -0.614 5.253
S -2.678 4.753 11.725
S -5.215 -2.809 2.030
S -3.756 1.237 11.746
S -4.503 3.110 8.664
S -0.179 2.062 11.515
Pb -3.099 -1.352 12.902
Pb -2.950 2.847 0.721
Pb 0.447 -0.098 6.562
Pb -2.567 2.763 6.333
Pb 0.000 0.000 0.000
Pb -3.481 -1.269 7.290
Pa -3.737 -1.212 3.534
Pa -2.312 2.707 10.089
```

Model 2:
Entry from the Alexandria database: an optimized crystal structure of PaPb3S6 (PBE).

Calculated values
Total magnetization, μB per atom: 0.000

Cell and atoms, written as extended XYZ:
```
20
Lattice="7.022 0.000 0.135 0.000 7.602 0.000 0.288 0.000 10.216" Properties=species:S:1:pos:R:3 pbc="T T T"
S 6.174 7.155 2.593
S 6.064 5.427 9.490
S 4.901 1.626 6.037
S 2.409 5.976 4.315
S 1.136 0.447 7.758
S 2.238 6.277 0.478
S 5.072 1.325 9.873
S 5.893 5.126 5.654
S 2.807 4.248 7.634
S 4.503 3.354 2.717
S 1.417 2.476 4.697
S 1.246 2.175 0.861
Pb 3.459 0.540 2.278
Pb 7.114 3.261 7.454
Pb 0.196 4.341 2.897
Pb 3.851 7.062 8.073
Pb 0.144 0.000 5.108
Pb 3.511 3.801 0.068
Pa 0.000 0.000 0.000
Pa 3.655 3.801 5.176
```

Least stable structure: model 1

Model 1:
Entry from the Alexandria database: an optimized crystal structure of PaSbPb2 (PBE).

Calculated values
Total magnetization, μB per atom: 0.000

Cell and atoms, written as extended XYZ:
```
4
Lattice="-4.603 -0.064 2.314 1.450 -3.353 2.792 1.471 3.146 3.014" Properties=species:S:1:pos:R:3 pbc="T T T"
Pa -0.841 -0.136 4.060
Pb 0.725 -1.677 1.396
Pb 0.736 1.573 1.507
Sb -2.301 -0.032 1.157
```

Model 2:
Entry from the Alexandria database: an optimized crystal structure of PaSbPb2 (PBE).

Calculated values
Total magnetization, μB per atom: 0.091

Cell and atoms, written as extended XYZ:
```
4
Lattice="3.296 0.000 0.000 1.648 2.855 0.000 1.648 0.952 12.582" Properties=species:S:1:pos:R:3 pbc="T T T"
Sb 3.296 1.903 6.291
Pb 1.648 0.952 9.264
Pb 4.945 2.855 3.318
Pa 0.000 0.000 0.000
```

Least stable structure: model 2

Model 1:
Entry from the Alexandria database: an optimized crystal structure of ScPaPb (PBE).

Calculated values
Total magnetization, μB per atom: 0.346

Cell and atoms, written as extended XYZ:
```
3
Lattice="-0.088 -3.285 0.721 4.479 -0.674 -2.526 0.022 1.111 5.066" Properties=species:S:1:pos:R:3 pbc="T T T"
Sc 1.464 -1.126 2.895
Pb 2.949 -1.722 0.365
Pa -0.088 -3.285 0.721
```

Model 2:
Entry from the Alexandria database: an optimized crystal structure of ScPaPb (PBE).

Calculated values
Total magnetization, μB per atom: 0.000

Cell and atoms, written as extended XYZ:
```
6
Lattice="-1.870 -1.266 -3.133 2.491 -2.936 -0.300 -6.020 -5.709 5.901" Properties=species:S:1:pos:R:3 pbc="T T T"
Pb -3.377 -2.949 0.827
Pb -2.333 -4.861 3.357
Sc -5.418 -4.885 2.828
Sc -0.291 -2.926 1.356
Pa -1.375 -1.050 -1.135
Pa -4.335 -6.760 5.320
```

Least stable structure: model 1

Model 1:
Entry from the Alexandria database: an optimized crystal structure of PaPbSe (PBE).

Calculated values
Total magnetization, μB per atom: 0.000

Cell and atoms, written as extended XYZ:
```
6
Lattice="-2.034 -0.734 -2.856 0.768 -2.583 2.364 -12.341 3.541 7.877" Properties=species:S:1:pos:R:3 pbc="T T T"
Pb -5.094 -0.854 1.600
Pb -9.554 0.425 4.447
Pa -0.223 -2.641 0.838
Pa -6.390 -0.831 4.764
Se -10.802 2.406 7.073
Se -1.653 -0.219 1.233
```

Model 2:
Entry from the Alexandria database: an optimized crystal structure of PaPbSe (PBE).

Calculated values
Total magnetization, μB per atom: 0.110

Cell and atoms, written as extended XYZ:
```
3
Lattice="-2.333 1.029 -2.571 2.516 -0.618 -2.530 -2.041 -5.959 2.017" Properties=species:S:1:pos:R:3 pbc="T T T"
Pb -1.856 -5.542 -3.083
Se -1.184 -3.496 -0.324
Pa -0.675 -2.058 -2.760
```

Model 3:
Entry from the Alexandria database: an optimized crystal structure of PaPbSe (PBE).

Calculated values
Total magnetization, μB per atom: 0.283

Cell and atoms, written as extended XYZ:
```
6
Lattice="4.120 0.000 -0.859 -0.179 4.116 -0.859 -0.225 -0.235 9.226" Properties=species:S:1:pos:R:3 pbc="T T T"
Pb -0.090 2.058 -0.430
Pb 2.060 0.000 -0.430
Pa 1.215 1.269 5.827
Pa 2.500 2.611 1.681
Se 3.082 3.219 4.470
Se 0.634 0.662 3.038
```

Least stable structure: model 1

Model 1:
Entry from the Alexandria database: an optimized crystal structure of PaPb2Se4 (PBE).

Calculated values
Total magnetization, μB per atom: 0.143

Cell and atoms, written as extended XYZ:
```
14
Lattice="4.257 0.000 0.000 0.000 7.710 0.000 0.000 0.000 13.453" Properties=species:S:1:pos:R:3 pbc="T T T"
Se 0.000 4.722 10.731
Se 2.128 5.841 7.268
Se 2.128 1.986 12.912
Se 0.000 6.843 4.004
Se 2.128 1.869 6.185
Se 0.000 2.988 2.722
Se 2.128 5.724 0.542
Se 0.000 0.867 9.449
Pa 0.000 3.855 0.000
Pa 0.000 0.000 6.727
Pb 2.128 2.840 8.965
Pb 2.128 4.870 4.489
Pb 2.128 1.015 2.238
Pb 2.128 6.695 11.215
```

Model 2:
Entry from the Alexandria database: an optimized crystal structure of PaPb2Se4 (PBE).

Calculated values
Total magnetization, μB per atom: 0.145

Cell and atoms, written as extended XYZ:
```
14
Lattice="-6.292 -2.071 3.144 -2.784 -0.646 -5.997 4.819 -7.543 -1.424" Properties=species:S:1:pos:R:3 pbc="T T T"
Se -0.570 -3.997 -4.824
Se -1.005 -7.170 -2.493
Se -2.357 -7.484 -5.405
Se -1.899 -2.776 1.128
Se 1.933 -6.974 -5.665
Se -6.189 -3.286 1.387
Se -3.687 -6.263 0.546
Se -3.251 -3.090 -1.784
Pa -2.369 -2.109 -4.192
Pa -1.888 -8.151 -0.085
Pb -6.088 -2.279 -2.447
Pb -0.077 -4.193 -1.352
Pb -4.180 -6.067 -2.925
Pb 1.832 -7.981 -1.830
```

Least stable structure: model 2

Model 1:
Entry from the Alexandria database: an optimized crystal structure of Pa2SiPb (PBE).

Calculated values
Total magnetization, μB per atom: 0.162

Cell and atoms, written as extended XYZ:
```
4
Lattice="3.433 0.000 0.000 0.000 3.433 0.000 0.000 0.000 8.174" Properties=species:S:1:pos:R:3 pbc="T T T"
Pa 0.000 0.000 6.499
Pa 0.000 0.000 1.674
Pb 1.717 1.717 4.087
Si 1.717 1.717 0.000
```

Model 2:
Entry from the Alexandria database: an optimized crystal structure of Pa2SiPb (PBE).

Calculated values
Total magnetization, μB per atom: 0.000

Cell and atoms, written as extended XYZ:
```
4
Lattice="4.190 0.000 0.000 2.095 3.629 0.000 2.095 1.210 7.177" Properties=species:S:1:pos:R:3 pbc="T T T"
Pa 2.095 1.210 1.543
Pa 6.285 3.629 5.633
Si 0.000 0.000 0.000
Pb 4.190 2.419 3.588
```

Least stable structure: model 2

Model 1:
Entry from the Alexandria database: an optimized crystal structure of PaSnPb2 (PBE).

Calculated values
Total magnetization, μB per atom: 0.109

Cell and atoms, written as extended XYZ:
```
4
Lattice="-0.249 -2.401 2.274 -0.207 -3.170 -0.952 12.188 -2.776 0.822" Properties=species:S:1:pos:R:3 pbc="T T T"
Pa 0.000 0.000 0.000
Sn 5.866 -4.173 1.072
Pb 2.837 -5.816 1.423
Pb 8.896 -2.531 0.720
```

Model 2:
Entry from the Alexandria database: an optimized crystal structure of PaSnPb2 (PBE).

Calculated values
Total magnetization, μB per atom: 0.178

Cell and atoms, written as extended XYZ:
```
4
Lattice="-0.046 -3.541 -2.154 -1.228 -2.046 3.389 -6.227 1.063 -1.615" Properties=species:S:1:pos:R:3 pbc="T T T"
Pb -1.568 0.268 -0.406
Pb -4.659 0.795 -1.208
Pa -3.750 -2.262 -0.190
Sn -0.637 -2.794 0.618
```

Least stable structure: model 1